A relaxed Sc2SnPd2 crystal. Source: the Alexandria database, functional PBE.

```
5
Lattice="-2.557 2.557 4.056 2.557 -2.557 4.056 2.557 2.557 -4.056" Properties=species:S:1:pos:R:3 pbc="T T T"
Sc 2.557 0.000 2.028
Sc 0.000 2.557 2.028
Sn 0.000 0.000 0.000
Pd 0.000 0.000 2.821
Pd 0.000 0.000 5.292
```

Properties
Its energy relative to the elements is -0.58 eV per atom. The space group is I4/mmm, No. 139. The raw total energy is -5.99 eV per atom. For the spin magnetization, the calculation gives 0.00 μB per cell.

=====

A relaxed La2PrY3Er6 crystal. Source: the Alexandria database, functional PBE.

```
12
Lattice="3.107 -5.380 0.000 3.107 5.380 0.000 -2.068 0.000 11.633" Properties=species:S:1:pos:R:3 pbc="T T T"
La 3.107 3.587 0.000
La 3.107 -3.587 0.000
Pr 3.107 0.000 0.000
Y -1.034 0.000 5.817
Y 2.073 1.792 5.817
Y 2.073 -1.792 5.817
Er -0.001 1.792 8.675
Er 1.044 0.000 2.957
Er -0.001 -1.792 8.675
Er 4.148 1.792 2.958
Er 3.103 0.000 8.676
Er 4.148 -1.792 2.958
```

Properties
Its energy relative to the elements is 0.03 eV per atom. The space group is C2/m, No. 12. The raw total energy is -5.09 eV per atom. For the spin magnetization, the calculation gives 0.00 μB per cell.

=====

A relaxed KSr2TaO5 crystal. Source: the Alexandria database, functional PBE.

```
9
Lattice="-2.018 3.127 5.805 2.018 -3.127 5.805 2.018 3.127 -5.805" Properties=species:S:1:pos:R:3 pbc="T T T"
K 0.000 0.000 0.000
Sr 2.018 0.000 3.214
Sr 0.000 3.127 2.591
Ta 0.000 0.000 5.805
O 2.018 1.766 -1.489
O 2.018 1.766 1.489
O 0.000 3.127 0.000
O 0.000 1.361 4.316
O 0.000 1.361 7.294
```

Properties
The space group is Immm, No. 71. The raw total energy is -7.31 eV per atom. The value obtained for the formation energy (no corrections) is -2.75 eV per atom. For the spin magnetization, the calculation gives 0.00 μB per cell.

=====

A relaxed Ba14SrMg crystal. Source: the Alexandria database, functional PBE.

```
16
Lattice="13.840 0.000 0.000 0.000 4.970 6.967 0.000 -4.970 6.967" Properties=species:S:1:pos:R:3 pbc="T T T"
Ba 0.000 0.000 0.000
Ba 0.000 0.000 6.946
Ba 0.000 -2.468 10.439
Ba 0.000 2.468 10.439
Ba 3.430 0.000 3.537
Ba 3.470 0.000 10.350
Ba 3.696 -2.625 6.934
Ba 3.696 2.625 6.934
Ba 6.920 -2.502 10.377
Ba 6.920 2.502 10.377
Ba 10.144 -2.625 6.934
Ba 10.144 2.625 6.934
Ba 10.370 0.000 10.350
Ba 10.410 0.000 3.537
Sr 6.920 0.000 6.903
Mg 6.920 0.000 13.727
```

Properties
Its energy relative to the elements is 0.03 eV per atom. The space group is Amm2, No. 38. The raw total energy is -1.86 eV per atom. For the spin magnetization, the calculation gives 0.00 μB per cell.